1.
## Pu2MgBeIr2 (GGA-PBE)

Data for a geometry-optimized Pu2MgBeIr2 structure.

Results
Electronic total energy   -107.605 eV per cell
DFT formation energy   -202.2 kJ/mol of formula units
SG   Ibam

POSCAR file:
```
Pu2MgBeIr2
1.0
5.748 0.000 0.000
0.000 7.766 0.000
-2.874 -3.883 5.358
Pu Be Ir Mg
4 2 4 2
direct
0.186 0.522 0.372
0.814 0.478 0.628
0.314 0.150 0.628
0.686 0.850 0.372
0.250 0.500 0.000
0.750 0.500 0.000
0.079 0.787 0.158
0.421 0.629 0.842
0.921 0.213 0.842
0.579 0.371 0.158
0.750 0.000 0.000
0.250 0.000 0.000
```

***

2.
## MgBe2IrS (GGA-PBE)

Data for a geometry-optimized MgBe2IrS structure.

Results
Electronic total energy   -19.760 eV per cell
Energy relative to the elements, uncorrected   0.46 eV/atom
SG   P4/mmm

POSCAR file:
```
MgBe2IrS
1.0
3.993 0.000 0.000
0.000 4.705 0.000
0.000 0.000 3.993
Be Ir S Mg
2 1 1 1
direct
0.500 0.000 0.000
0.000 0.000 0.500
0.000 0.500 0.000
0.000 0.000 0.000
0.500 0.500 0.500
```

***

3.
## MgSc2Be2Ir5 (GGA-PBE)

Data for a geometry-optimized MgSc2Be2Ir5 structure.

Results
Electronic total energy   -146.418 eV per cell
DFT formation energy   -694.1 kJ/mol of formula units
SG   P4/mbm

POSCAR file:
```
MgSc2Be2Ir5
1.0
3.137 0.000 0.000
0.000 9.545 0.000
0.000 0.000 9.545
Ir Sc Mg Be
10 4 2 4
direct
0.500 0.287 0.570
0.500 0.500 0.000
0.500 0.713 0.430
0.500 0.070 0.787
0.500 0.787 0.930
0.500 0.430 0.287
0.500 0.570 0.713
0.500 0.930 0.213
0.500 0.000 0.500
0.500 0.213 0.070
0.000 0.324 0.824
0.000 0.824 0.676
0.000 0.676 0.176
0.000 0.176 0.324
0.000 0.500 0.500
0.000 0.000 0.000
0.000 0.624 0.876
0.000 0.876 0.376
0.000 0.124 0.624
0.000 0.376 0.124
```

***

4.
## MgScBeIr2 (GGA-PBE)

Data for a geometry-optimized MgScBeIr2 structure.

Results
Electronic total energy   -24.233 eV per cell
DFT formation energy   496.0 kJ/mol of formula units
SG   P4/mmm

POSCAR file:
```
MgScBeIr2
1.0
4.705 0.000 0.000
0.000 4.555 0.000
0.000 0.000 4.705
Sc Ir Mg Be
1 2 1 1
direct
0.000 0.000 0.000
0.500 0.000 0.000
0.000 0.000 0.500
0.500 0.500 0.500
0.000 0.500 0.000
```

***

5.
## Mg2Be2SnIr5 (GGA-PBE)

Data for a geometry-optimized Mg2Be2SnIr5 structure.

Results
Electronic total energy   -125.745 eV per cell
DFT formation energy   -378.5 kJ/mol of formula units
SG   P4/mbm

POSCAR file:
```
Mg2Be2SnIr5
1.0
3.119 0.000 0.000
0.000 9.646 0.000
0.000 0.000 9.646
Ir Mg Be Sn
10 4 4 2
direct
0.500 0.216 0.072
0.500 0.284 0.572
0.500 0.928 0.216
0.500 0.000 0.500
0.500 0.072 0.784
0.500 0.572 0.716
0.500 0.784 0.928
0.500 0.716 0.428
0.500 0.500 0.000
0.500 0.428 0.284
0.000 0.175 0.325
0.000 0.825 0.675
0.000 0.325 0.825
0.000 0.675 0.175
0.000 0.621 0.879
0.000 0.121 0.621
0.000 0.879 0.379
0.000 0.379 0.121
0.000 0.500 0.500
0.000 0.000 0.000
```

***

6.
## SrMgBeIr2 (GGA-PBE)

Data for a geometry-optimized SrMgBeIr2 structure.

Results
Electronic total energy   -17.751 eV per cell
DFT formation energy   672.8 kJ/mol of formula units
SG   P4/mmm

POSCAR file:
```
SrMgBeIr2
1.0
-1.595 4.374 0.459
-4.726 -1.600 -1.169
-0.854 -0.788 4.532
Ir Be Sr Mg
2 1 1 1
direct
0.000 0.000 0.500
0.500 0.000 0.000
0.500 0.500 0.500
0.000 0.500 0.000
0.000 0.000 0.000
```